## RbNp3Se6 (PBE-GGA)

Data for a relaxed RbNp3Se6 crystal.

Lattice parameters (Å, degrees): 12.412 4.217 12.835 90.00 106.78 90.00
Space group P2_1/m (No. 11)
Inequivalent atoms, fractional coordinates:
Rb: 0.140 0.250 0.423 x2
Np: 0.155 0.750 0.047 x2
Np: 0.237 0.250 0.794 x2
Np: 0.464 0.250 0.348 x2
Se: 0.053 0.250 0.895 x2
Se: 0.147 0.750 0.650 x2
Se: 0.244 0.250 0.193 x2
Se: 0.322 0.750 0.942 x2
Se: 0.371 0.750 0.446 x2
Se: 0.446 0.250 0.745 x2

Summary:
Energy relative to the elements, uncorrected = -1138 meV/atom
Crystal system = monoclinic
Mass density = 6.6 g cm⁻³


## UCuI6 (PBE-GGA)

Data for a relaxed UCuI6 crystal.

Lattice parameters (Å, degrees): 7.413 7.414 7.927 90.03 117.84 119.96
Space group P-1 (No. 2)
Inequivalent atoms, fractional coordinates:
U: 0.000 0.000 0.000 x1
Cu: 0.000 0.500 0.500 x1
I: 0.140 0.252 0.745 x2
I: 0.142 0.395 0.255 x2
I: 0.493 0.887 0.745 x2

Summary:
Energy relative to the elements, uncorrected = -530 meV/atom
Crystal system = triclinic
Mass density = 5.6 g cm⁻³
Energy above the lowest structure with this stoichiometry = 17 meV/atom


## PrNpCo4 (PBE-GGA)

Data for a relaxed PrNpCo4 crystal.

Lattice parameters (Å, degrees): 7.191 7.191 7.191 90.00 90.00 90.00
Space group F-43m (No. 216)
Inequivalent atoms, fractional coordinates:
Pr: 0.000 0.000 0.000 x4
Np: 0.250 0.250 0.250 x4
Co: 0.123 0.123 0.623 x16

Summary:
Formation energy from the elements = 18 meV/atom
Crystal system = cubic
Mass density = 11.0 g cm⁻³


## RbH2Pd (PBE-GGA)

Data for a relaxed RbH2Pd crystal.

Lattice parameters (Å, degrees): 5.092 5.092 10.156 90.00 90.00 90.00
Space group I4_1/amd (No. 141, origin choice 2)
Inequivalent atoms, fractional coordinates:
Rb: 0.000 0.250 0.375 x4
H: 0.000 0.000 0.000 x8
Pd: 0.000 0.250 0.875 x4

Summary:
Crystal system = tetragonal
Mass density = 4.9 g cm⁻³
Energy above the lowest structure with this stoichiometry = 175 meV/atom


## TlFeP2S (PBE-GGA)

Data for a relaxed TlFeP2S crystal.

Lattice parameters (Å, degrees): 4.254 4.254 5.370 90.00 90.00 90.00
Space group P4/mmm (No. 123)
Inequivalent atoms, fractional coordinates:
Tl: 0.000 0.000 0.000 x1
Fe: 0.500 0.500 0.500 x1
P: 0.000 0.500 0.500 x2
S: 0.500 0.500 0.000 x1

Summary:
Energy relative to the elements, uncorrected = 294 meV/atom
Crystal system = tetragonal
Mass density = 6.1 g cm⁻³
Energy above the lowest structure with this stoichiometry = 0 meV/atom


## Li4Ga5Co (PBE-GGA)

Data for a relaxed Li4Ga5Co crystal.

Lattice parameters (Å, degrees): 2.993 2.993 16.525 90.00 90.00 90.00
Space group P4/mmm (No. 123)
Inequivalent atoms, fractional coordinates:
Li: 0.000 0.000 0.112 x2
Li: 0.000 0.000 0.319 x2
Ga: 0.500 0.500 0.000 x1
Ga: 0.500 0.500 0.220 x2
Ga: 0.500 0.500 0.417 x2
Co: 0.000 0.000 0.500 x1

Summary:
Formation energy from the elements = -264 meV/atom
Crystal system = tetragonal
Mass density = 4.9 g cm⁻³


## Nd2Er8Tm3 (PBE-GGA)

Data for a relaxed Nd2Er8Tm3 crystal.

Lattice parameters (Å, degrees): 7.538 20.704 5.474 90.00 90.00 90.00
Space group Cmmm (No. 65)
Inequivalent atoms, fractional coordinates:
Nd: 0.000 0.240 0.000 x4
Er: 0.000 0.127 0.500 x4
Er: 0.000 0.340 0.500 x4
Er: 0.214 0.394 0.000 x8
Tm: 0.000 0.000 0.000 x2
Tm: 0.215 0.500 0.500 x4

Summary:
Formation energy from the elements = 242 meV/atom
Crystal system = orthorhombic
Mass density = 8.3 g cm⁻³


## CaZn3Cu (PBE-GGA)

Data for a relaxed CaZn3Cu crystal.

Lattice parameters (Å, degrees): 5.896 10.754 5.905 90.00 90.00 90.00
Space group Cmcm (No. 63)
Inequivalent atoms, fractional coordinates:
Ca: 0.000 0.246 0.250 x4
Zn: 0.000 0.135 0.750 x4
Zn: 0.236 0.500 0.000 x8
Cu: 0.000 0.362 0.750 x4

Summary:
Formation energy from the elements = -193 meV/atom
Crystal system = orthorhombic
Mass density = 5.3 g cm⁻³
Energy above the lowest structure with this stoichiometry = 0 meV/atom


## AcSmAg (PBE-GGA)

Data for a relaxed AcSmAg crystal.

Lattice parameters (Å, degrees): 5.2605 5.2605 4.0797 90.00 90.00 120.00
Space group P3m1 (No. 156)
Inequivalent atoms, fractional coordinates:
Ac: 0.0000 0.0000 0.0000 x1
Sm: 0.3333 0.6667 0.4968 x1
Ag: 0.6667 0.3333 0.5117 x1

Summary:
Formation energy from the elements = -8 meV/atom
Crystal system = trigonal
Mass density = 8.2 g cm⁻³
Energy above the lowest structure with this stoichiometry = 135 meV/atom


## TbSmInCu (PBE-GGA)

Data for a relaxed TbSmInCu crystal.

Lattice parameters (Å, degrees): 7.395 7.395 7.395 90.00 90.00 90.00
Space group F-43m (No. 216)
Inequivalent atoms, fractional coordinates:
Tb: 0.000 0.000 0.000 x4
Sm: 0.000 0.000 0.500 x4
In: 0.250 0.250 0.250 x4
Cu: 0.250 0.250 0.750 x4

Summary:
Formation energy from the elements = -289 meV/atom
Crystal system = cubic
Mass density = 8.0 g cm⁻³